Entry 1:
Here is La2Br after structural relaxation from Alexandria. Energies are from PBE.

The structure belongs to space group I4/mcm (No. 140); the cell edges are 7.5125, 7.5125 and 6.5944 Å and the angles 90.00°, 90.00° and 90.00°. The inequivalent atoms are La at (0.1537, 0.3463, 0.0000) and Br at (0.0000, 0.0000, 0.2500).

The density of states at the Fermi level comes out at 9.52 states/eV per cell. The formation energy from raw total energies comes out at -19.169 kcal/mol of atoms. The value obtained for the total energy is -4.674 eV/atom. For the energy above the most stable polymorph in this dataset, the calculation gives 0 meV/atom. The volume is 31.0 A^3/atom.

Entry 2:
Here is La5Br4 after structural relaxation from Alexandria. Energies are from PBE.

The structure belongs to space group P6_3/mcm (No. 193); the cell edges are 9.3420, 9.3420 and 6.7162 Å and the angles 90.00°, 90.00° and 120.00°. The inequivalent atoms are La at (0.0000, 0.2793, 0.2500), La at (0.3333, 0.6667, 0.0000), Br at (0.0000, 0.0000, 0.0000) and Br at (0.0000, 0.3883, 0.7500).

The density of states at the Fermi level comes out at 16.26 states/eV per cell. The formation energy from raw total energies comes out at -21.078 kcal/mol of atoms. The value obtained for the total energy is -4.395 eV/atom. The volume is 28.2 A^3/atom.

Entry 3:
Here is LaBr3 after structural relaxation from Alexandria. Energies are from PBE.

The structure belongs to space group Imm2 (No. 44); the cell edges are 4.0470, 11.0431 and 7.1176 Å and the angles 90.00°, 90.00° and 90.00°. The inequivalent atoms are La at (0.0000, 0.0000, 0.0000), Br at (0.0000, 0.3298, 0.3423) and Br at (0.0000, 0.5000, 0.8038).

The density of states at the Fermi level comes out at 0.00 states/eV per cell. The formation energy from raw total energies comes out at -44.694 kcal/mol of atoms. The value obtained for the total energy is -4.425 eV/atom. The volume is 39.8 A^3/atom.

Entry 4:
Here is La4Br after structural relaxation from Alexandria. Energies are from PBE.

The structure belongs to space group Pm-3m (No. 221); the cell edges are 5.7703, 5.7703 and 5.7703 Å and the angles 90.00°, 90.00° and 90.00°. The inequivalent atoms are La at (0.0000, 0.0000, 0.0000), La at (0.0000, 0.5000, 0.5000) and Br at (0.5000, 0.5000, 0.5000).

The density of states at the Fermi level comes out at 6.66 states/eV per cell. The formation energy from raw total energies comes out at -8.281 kcal/mol of atoms. The value obtained for the total energy is -4.636 eV/atom. For the energy above the most stable polymorph in this dataset, the calculation gives 0 meV/atom. The volume is 38.4 A^3/atom.

Entry 5:
Here is LaBr after structural relaxation from Alexandria. Energies are from PBE.

The structure belongs to space group Cm (No. 8); the cell edges are 14.4652, 3.8049 and 7.6210 Å and the angles 90.00°, 111.61° and 90.00°. The inequivalent atoms are La at (0.0000, 0.0000, 0.0000), La at (0.0825, 0.0000, 0.5609), La at (0.2339, 0.5000, 0.9808), Br at (0.1550, 0.5000, 0.2962), Br at (0.3186, 0.0000, 0.7471) and Br at (0.4071, 0.0000, 0.2715).

The density of states at the Fermi level comes out at 8.49 states/eV per cell. The formation energy from raw total energies comes out at -27.313 kcal/mol of atoms. The value obtained for the total energy is -4.485 eV/atom. The volume is 32.5 A^3/atom.

Entry 6:
Here is LaBr3 after structural relaxation from Alexandria. Energies are from PBE.

The structure belongs to space group R-3m (No. 166, hexagonal axes); the cell edges are 4.3851, 4.3851 and 36.3076 Å and the angles 90.00°, 90.00° and 120.00°. The inequivalent atoms are La at (0.0000, 0.0000, 0.0000), Br at (0.0000, 0.0000, 0.0742) and Br at (0.0000, 0.0000, 0.5000).

The density of states at the Fermi level comes out at 11.15 states/eV per cell. The formation energy from raw total energies comes out at -10.344 kcal/mol of atoms. The value obtained for the total energy is -2.935 eV/atom. The volume is 50.4 A^3/atom.

Entry 7:
Here is LaBr after structural relaxation from Alexandria. Energies are from PBE.

The structure belongs to space group P2_1/m (No. 11); the cell edges are 3.7178, 4.9816 and 6.2550 Å and the angles 90.00°, 107.36° and 90.00°. The inequivalent atoms are La at (0.1409, 0.2500, 0.2816) and Br at (0.4013, 0.2500, 0.8015).

The density of states at the Fermi level comes out at 2.21 states/eV per cell. The formation energy from raw total energies comes out at -27.680 kcal/mol of atoms. The value obtained for the total energy is -4.500 eV/atom. The volume is 27.6 A^3/atom.

Entry 8:
Here is La3Br after structural relaxation from Alexandria. Energies are from PBE.

The structure belongs to space group P4/mmm (No. 123); the cell edges are 3.6738, 3.6738 and 9.7621 Å and the angles 90.00°, 90.00° and 90.00°. The inequivalent atoms are La at (0.0000, 0.0000, 0.0000), La at (0.5000, 0.5000, 0.2632) and Br at (0.0000, 0.0000, 0.5000).

The density of states at the Fermi level comes out at 3.47 states/eV per cell. The formation energy from raw total energies comes out at -11.964 kcal/mol of atoms. The value obtained for the total energy is -4.633 eV/atom. For the energy above the most stable polymorph in this dataset, the calculation gives 100 meV/atom. The volume is 32.9 A^3/atom.

Entry 9:
Here is LaBr after structural relaxation from Alexandria. Energies are from PBE.

The structure belongs to space group Fm-3m (No. 225); the cell edges are 6.1172, 6.1172 and 6.1172 Å and the angles 90.00°, 90.00° and 90.00°. The inequivalent atoms are La at (0.0000, 0.0000, 0.0000) and Br at (0.0000, 0.0000, 0.5000).

The density of states at the Fermi level comes out at 8.13 states/eV per cell. The formation energy from raw total energies comes out at -27.933 kcal/mol of atoms. The value obtained for the total energy is -4.511 eV/atom. The volume is 28.6 A^3/atom.

Entry 10:
Here is LaBr after structural relaxation from Alexandria. Energies are from PBE.

The structure belongs to space group I-43m (No. 217); the cell edges are 9.4818, 9.4818 and 9.4818 Å and the angles 90.00°, 90.00° and 90.00°. The inequivalent atoms are La at (0.1385, 0.1385, 0.8615) and Br at (0.1717, 0.1717, 0.1717).

The density of states at the Fermi level comes out at 14.54 states/eV per cell. The formation energy from raw total energies comes out at -17.829 kcal/mol of atoms. The value obtained for the total energy is -4.073 eV/atom. The volume is 53.3 A^3/atom.

Entry 11:
Here is La3Br after structural relaxation from Alexandria. Energies are from PBE.

The structure belongs to space group Cmcm (No. 63); the cell edges are 10.3116, 10.9535 and 4.6514 Å and the angles 90.00°, 90.00° and 90.00°. The inequivalent atoms are La at (0.0000, 0.1121, 0.2500), La at (0.2225, 0.3824, 0.2500) and Br at (0.0000, 0.3664, 0.7500).

The density of states at the Fermi level comes out at 17.80 states/eV per cell. The formation energy from raw total energies comes out at -8.686 kcal/mol of atoms. The value obtained for the total energy is -4.490 eV/atom. For the energy above the most stable polymorph in this dataset, the calculation gives 242 meV/atom. The volume is 32.8 A^3/atom.

Entry 12:
Here is La2Br after structural relaxation from Alexandria. Energies are from PBE.

The structure belongs to space group Cmcm (No. 63); the cell edges are 3.9337, 16.7921 and 6.0826 Å and the angles 90.00°, 90.00° and 90.00°. The inequivalent atoms are La at (0.0000, 0.0414, 0.2500), La at (0.0000, 0.3440, 0.2500) and Br at (0.0000, 0.3092, 0.7500).

The density of states at the Fermi level comes out at 12.72 states/eV per cell. The formation energy from raw total energies comes out at -18.579 kcal/mol of atoms. The value obtained for the total energy is -4.648 eV/atom. For the energy above the most stable polymorph in this dataset, the calculation gives 26 meV/atom. The volume is 33.5 A^3/atom.